# Be2Te3, optimized geometry, DFT GGA-PBE
data_Be2Te3
_chemical_formula_sum 'Be2 Te3'
_symmetry_space_group_name_H-M 'P 1'
_symmetry_Int_Tables_number 1
_cell_length_a 9.116
_cell_length_b 9.116
_cell_length_c 9.116
_cell_angle_alpha 24.10
_cell_angle_beta 24.10
_cell_angle_gamma 24.10
loop_
_symmetry_equiv_pos_as_xyz
'x,y,z'
loop_
_atom_site_label
_atom_site_type_symbol
_atom_site_fract_x
_atom_site_fract_y
_atom_site_fract_z
_atom_site_occupancy
Be1 Be 0.402 0.402 0.402 1
Be2 Be 0.598 0.598 0.598 1
Te1 Te 0.000 0.000 0.000 1
Te2 Te 0.778 0.778 0.778 1
Te3 Te 0.222 0.222 0.222 1
# Total moment, Bohr magnetons per cell: 0.0


# BeTe, optimized geometry, DFT GGA-PBE
data_BeTe
_chemical_formula_sum 'Be2 Te2'
_symmetry_space_group_name_H-M 'P 1'
_symmetry_Int_Tables_number 1
_cell_length_a 4.918
_cell_length_b 4.918
_cell_length_c 4.918
_cell_angle_alpha 60.00
_cell_angle_beta 60.00
_cell_angle_gamma 60.00
loop_
_symmetry_equiv_pos_as_xyz
'x,y,z'
loop_
_atom_site_label
_atom_site_type_symbol
_atom_site_fract_x
_atom_site_fract_y
_atom_site_fract_z
_atom_site_occupancy
Be1 Be 0.000 0.000 0.000 1
Be2 Be 0.750 0.750 0.750 1
Te1 Te 0.500 0.500 0.500 1
Te2 Te 0.250 0.250 0.250 1
# Total moment, Bohr magnetons per cell: 0.0


# BeTe, optimized geometry, DFT GGA-PBE
data_BeTe
_chemical_formula_sum 'Be1 Te1'
_symmetry_space_group_name_H-M 'P 1'
_symmetry_Int_Tables_number 1
_cell_length_a 3.359
_cell_length_b 3.359
_cell_length_c 3.359
_cell_angle_alpha 90.00
_cell_angle_beta 90.00
_cell_angle_gamma 90.00
loop_
_symmetry_equiv_pos_as_xyz
'x,y,z'
loop_
_atom_site_label
_atom_site_type_symbol
_atom_site_fract_x
_atom_site_fract_y
_atom_site_fract_z
_atom_site_occupancy
Be1 Be 0.000 0.000 0.000 1
Te1 Te 0.500 0.500 0.500 1
# Total moment, Bohr magnetons per cell: 0.0


# Be5Te7, optimized geometry, DFT GGA-PBE
data_Be5Te7
_chemical_formula_sum 'Be5 Te7'
_symmetry_space_group_name_H-M 'P 1'
_symmetry_Int_Tables_number 1
_cell_length_a 8.952
_cell_length_b 8.952
_cell_length_c 8.952
_cell_angle_alpha 96.28
_cell_angle_beta 96.28
_cell_angle_gamma 141.38
loop_
_symmetry_equiv_pos_as_xyz
'x,y,z'
loop_
_atom_site_label
_atom_site_type_symbol
_atom_site_fract_x
_atom_site_fract_y
_atom_site_fract_z
_atom_site_occupancy
Be1 Be 0.732 0.732 0.000 1
Be2 Be 0.908 0.108 0.000 1
Be3 Be 0.108 0.908 0.000 1
Be4 Be 0.908 0.908 0.800 1
Be5 Be 0.108 0.108 0.200 1
Te1 Te 0.322 0.322 0.000 1
Te2 Te 0.418 0.918 0.500 1
Te3 Te 0.918 0.418 0.500 1
Te4 Te 0.819 0.060 0.241 1
Te5 Te 0.819 0.579 0.759 1
Te6 Te 0.579 0.819 0.759 1
Te7 Te 0.060 0.819 0.241 1
# Total moment, Bohr magnetons per cell: 0.0


no.,formation energy from raw total energies (kcal/mol of atoms)
1,1.5
2,24.1
3,17.2
4,3.4